Li2NiAgF6 after structural relaxation. Source: Alexandria via LeMat-Bulk, functional PBE+U.

```
data_Li2NiAgF6
_space_group_name_H-M_alt 'P 1'
_space_group_IT_number 1
_cell_length_a 5.1628
_cell_length_b 5.3753
_cell_length_c 5.4878
_cell_angle_alpha 65.34
_cell_angle_beta 89.87
_cell_angle_gamma 61.50
loop_
_space_group_symop_operation_xyz
'x,y,z'
loop_
_atom_site_label
_atom_site_type_symbol
_atom_site_fract_x
_atom_site_fract_y
_atom_site_fract_z
Li1 Li 0.0000 0.0000 0.0000
Li2 Li 0.4765 0.9790 0.5199
Ni1 Ni 0.2066 0.5496 0.6262
Ag1 Ag 0.7136 0.5451 0.1417
F1 F 0.1572 0.9732 0.3556
F2 F 0.2665 0.1096 0.8009
F3 F 0.4327 0.3941 0.3660
F4 F 0.6107 0.4102 0.8520
F5 F 0.8000 0.7443 0.3712
F6 F 0.9465 0.7372 0.8580
```

Results
Calculated volume in Å³ per atom: 11.79
Raw total energy in eV/atom: -4.1830
Distance to the lowest polymorph of the same formula in kcal/mol of atoms: 0.00

LiNiAg2F6 after structural relaxation. Source: Alexandria via LeMat-Bulk, functional PBE+U.

```
data_LiNiAg2F6
_space_group_name_H-M_alt 'P 1 21/c 1'
_space_group_IT_number 14
_cell_length_a 5.6605
_cell_length_b 5.6174
_cell_length_c 9.4775
_cell_angle_alpha 90.00
_cell_angle_beta 126.14
_cell_angle_gamma 90.00
loop_
_space_group_symop_operation_xyz
'x,y,z'
'-x,-y,-z'
'-x,y+1/2,-z+1/2'
'x,-y+1/2,z+1/2'
loop_
_atom_site_label
_atom_site_type_symbol
_atom_site_fract_x
_atom_site_fract_y
_atom_site_fract_z
Li1 Li 0.0000 0.0000 0.0000
Ni1 Ni 0.5000 0.0000 0.5000
Ag1 Ag 0.2414 0.0153 0.7505
F1 F 0.1962 0.6613 0.0208
F2 F 0.2015 0.0199 0.2461
F3 F 0.3573 0.1738 0.0188
```

Results
Calculated volume in Å³ per atom: 12.17
Raw total energy in eV/atom: -3.9037

Li2NiAg2F6 after structural relaxation. Source: Alexandria via LeMat-Bulk, functional PBE+U.

```
data_Li2NiAg2F6
_space_group_name_H-M_alt 'R -3 m'
_space_group_IT_number 166
_space_group_name_Hall '-R 3 2"'
_cell_length_a 5.7764
_cell_length_b 5.7764
_cell_length_c 15.8795
_cell_angle_alpha 90.00
_cell_angle_beta 90.00
_cell_angle_gamma 120.00
loop_
_atom_site_label
_atom_site_type_symbol
_atom_site_fract_x
_atom_site_fract_y
_atom_site_fract_z
Li1 Li 0.0000 0.0000 0.0918
Ni1 Ni 0.0000 0.0000 0.5000
Ag1 Ag 0.0000 0.0000 0.2976
F1 F 0.0198 0.5099 0.2468
```

Results
Calculated volume in Å³ per atom: 13.90
Raw total energy in eV/atom: -4.0238

Li2NiAgF6 after structural relaxation. Source: Alexandria via LeMat-Bulk, functional PBE+U.

```
data_Li2NiAgF6
_space_group_name_H-M_alt 'F m -3 m'
_space_group_IT_number 225
_space_group_name_Hall '-F 4 2 3'
_cell_length_a 8.2983
_cell_length_b 8.2983
_cell_length_c 8.2983
_cell_angle_alpha 90.00
_cell_angle_beta 90.00
_cell_angle_gamma 90.00
loop_
_atom_site_label
_atom_site_type_symbol
_atom_site_fract_x
_atom_site_fract_y
_atom_site_fract_z
Li1 Li 0.2500 0.2500 0.2500
Ni1 Ni 0.0000 0.0000 0.0000
Ag1 Ag 0.0000 0.0000 0.5000
F1 F 0.0000 0.0000 0.2357
```

Results
Calculated volume in Å³ per atom: 14.29
Raw total energy in eV/atom: -3.9243
Distance to the lowest polymorph of the same formula in kcal/mol of atoms: 5.97

Total magnetization list, top to bottom, in μB/cell: 2.950; 5.973; 6.442; 4.000